(1)
The following is a PBE-GGA calculation of an optimized crystal structure of RbAl2Ag, from Alexandria.

Values from the calculation:
- N(E_F): 0.287 states/eV per atom
- E above lowest polymorph: 0.262 eV per atom
- Spin magnetization: 0.00 μB/cell
- DFT formation energy: 116 kJ/mol of formula units

a b c (Å): 5.3669 5.3669 9.8453
angles (deg): 74.18 74.18 90.00
Fractional coordinates of all 8 atoms:
1 Al 0.8744 0.1250 0.2500
2 Al 0.3750 0.1256 0.7500
3 Al 0.8750 0.1244 0.7500
4 Al 0.8756 0.6250 0.2500
5 Rb 0.2500 0.7500 0.5000
6 Rb 0.5000 0.5000 0.0000
7 Ag 0.7500 0.2500 0.5000
8 Ag 0.0000 0.0000 0.0000

=====

(2)
The following is a PBE-GGA calculation of an optimized crystal structure of NaSr2HgF, from Alexandria.

Values from the calculation:
- N(E_F): 0.511 states/eV per atom
- E above lowest polymorph: 0.000 eV per atom
- Spin magnetization: 0.00 μB/cell
- Energy relative to the elements, uncorrected: -6.32 eV/f.u.

a b c (Å): 5.4584 5.4584 4.6129
angles (deg): 90.00 90.00 90.00
Fractional coordinates of all 5 atoms:
1 Hg 0.5000 0.5000 0.5000
2 F 0.0000 0.0000 0.0000
3 Sr 0.5000 0.0000 0.0000
4 Sr 0.0000 0.5000 0.0000
5 Na 0.0000 0.0000 0.5000

=====

(3)
The following is a PBE-GGA calculation of an optimized crystal structure of BaCdNi2, from Alexandria.

Values from the calculation:
- N(E_F): 0.861 states/eV per atom
- Spin magnetization: 0.00 μB/cell
- DFT formation energy: 94 kJ/mol of formula units

a b c (Å): 3.4689 3.4711 6.9762
angles (deg): 90.00 90.00 90.00
Fractional coordinates of all 4 atoms:
1 Ni 0.0000 0.0000 0.9257
2 Ni 0.0000 0.0000 0.5743
3 Ba 0.5000 0.5000 0.2500
4 Cd 0.5000 0.5000 0.7500